# 1
A plane-wave DFT calculation with PBE-GGA was carried out for crystalline Ga2Pd2S at its relaxed geometry.

Values from the calculation:
final energy = -43.9 eV per cell
calculated density = 7.89 g/cm3
spin magnetization = 0.000 μB/atom
space group = P4/mbm, No. 127

abc: 7.207 7.207 3.114
angles: 90.00 90.00 90.00
Positions (direct):
S  0.000  0.000  0.000
S  0.500  0.500  0.000
Ga  0.154  0.654  0.500
Ga  0.654  0.846  0.500
Ga  0.846  0.346  0.500
Ga  0.346  0.154  0.500
Pd  0.354  0.854  0.000
Pd  0.854  0.646  0.000
Pd  0.646  0.146  0.000
Pd  0.146  0.354  0.000

# 2
A plane-wave DFT calculation with PBE-GGA was carried out for crystalline Ga2Pd4S at its relaxed geometry.

Values from the calculation:
final energy = -31.4 eV per cell
calculated density = 7.55 g/cm3
spin magnetization = 0.000 μB/atom
space group = I4/mmm, No. 139

abc: 4.487 4.487 7.255
angles: 71.99 71.99 90.00
Positions (direct):
S  0.000  0.000  0.000
Ga  0.363  0.363  0.273
Ga  0.637  0.637  0.727
Pd  0.179  0.179  0.643
Pd  0.821  0.821  0.357
Pd  0.000  0.500  0.000
Pd  0.500  0.000  0.000

# 3
A plane-wave DFT calculation with PBE-GGA was carried out for crystalline Ga2SiPdS at its relaxed geometry.

Values from the calculation:
final energy = -18.3 eV per cell
calculated density = 4.80 g/cm3
spin magnetization = 0.000 μB/atom
space group = P4/mmm, No. 123

abc: 4.875 4.457 4.875
angles: 90.00 90.00 90.00
Positions (direct):
S  0.000  0.000  0.000
Si  0.500  0.500  0.500
Ga  0.000  0.000  0.500
Ga  0.500  0.000  0.000
Pd  0.000  0.500  0.000